The following is a PBE+U calculation of a geometry-optimized LiMn2OF3 structure, from Alexandria.

Computed properties:
Energy in eV per atom: -6.30

Lattice parameters (Å, degrees): 6.3224 6.3525 8.8874 90.00 90.00 90.00
With the nearest neighbours (Å) after each atom.
Space group Pnma (No. 62)
Unique sites:
Li: 0.2484 0.2500 0.2330 x4  1 O 1.99, 3 F 2.12-2.23
Mn: 0.0000 0.0000 0.5000 x4  2 O 2.05, 4 F 2.26-2.27
Mn: 0.0359 0.2500 0.8881 x4  1 O 1.98, 3 F 2.09-2.10
O: 0.2037 0.7500 0.5112 x4  3 Mn 1.98-2.05, 1 Li 1.99
F: 0.0105 0.0161 0.2461 x8  2 Mn 2.09-2.26, 2 Li 2.12-2.23
F: 0.2440 0.7500 0.9841 x4  3 Mn 2.10-2.27, 1 Li 2.23